[1]
{
  "formula": "Pm2BeCuPd6",
  "functional": "PBE-GGA",
  "state": "relaxed",
  "space_group": "C2/m (12)",
  "lattice_angstrom": [[5.437, -2.788, 0.000], [5.437, 2.788, 0.000], [-4.671, 0.000, 6.097]],
  "species": ["Pm", "Pm", "Be", "Cu", "Pd", "Pd", "Pd", "Pd", "Pd", "Pd"],
  "frac_coords": [[0.224, 0.224, 0.196], [0.776, 0.776, 0.804], [0.000, 0.000, 0.500], [0.500, 0.500, 0.000], [0.240, 0.738, 0.266], [0.247, 0.247, 0.617], [0.262, 0.760, 0.734], [0.738, 0.240, 0.266], [0.753, 0.753, 0.383], [0.760, 0.262, 0.734]]
}

[2]
{
  "formula": "PmBe2CuPd5",
  "functional": "PBE-GGA",
  "state": "relaxed",
  "space_group": "P4/mmm (123)",
  "lattice_angstrom": [[4.409, 0.000, 0.000], [0.000, 4.409, 0.000], [0.000, 0.000, 7.053]],
  "species": ["Pm", "Be", "Be", "Cu", "Pd", "Pd", "Pd", "Pd", "Pd"],
  "frac_coords": [[0.000, 0.000, 0.000], [0.500, 0.500, 0.339], [0.500, 0.500, 0.661], [0.000, 0.000, 0.500], [0.000, 0.500, 0.290], [0.000, 0.500, 0.710], [0.500, 0.000, 0.290], [0.500, 0.000, 0.710], [0.500, 0.500, 0.000]]
}

Number 1: M_tot 0.0000 μB/atom, formation energy from the elements -0.559 eV/atom. Number 2: M_tot 0.0000 μB/atom, formation energy from the elements -0.450 eV/atom.